Record 1
Computed, not measured: a geometry-optimized LaPuN2O structure at the PBE-GGA level of DFT.

Lattice parameters (Å, degrees): 5.950 5.950 8.609 90.00 90.00 90.00
Space group I4/mcm (No. 140)
One atom of each set of equivalent atoms:
La 0.000 0.500 0.250 (multiplicity 4)
Pu 0.000 0.000 0.000 (multiplicity 4)
N 0.182 0.318 0.000 (multiplicity 8)
O 0.000 0.000 0.250 (multiplicity 4)

Output
ΔE_f (raw)	-1745	meV per atom
final energy	-198.37	eV for the cell shown
total moment	12.00	Bohr magnetons per cell

***

Record 2
Computed, not measured: a geometry-optimized La2PuN2O2 structure at the PBE-GGA level of DFT.

Lattice parameters (Å, degrees): 4.357 4.357 12.577 90.00 90.00 90.00
Space group I4/mmm (No. 139)
One atom of each set of equivalent atoms:
La 0.000 0.000 0.137 (multiplicity 4)
Pu 0.000 0.000 0.500 (multiplicity 2)
N 0.000 0.500 0.000 (multiplicity 4)
O 0.000 0.000 0.313 (multiplicity 4)

Output
ΔE_f (raw)	-2085	meV per atom
final energy	-130.69	eV for the cell shown
total moment	7.99	Bohr magnetons per cell

***

Record 3
Computed, not measured: a geometry-optimized Rb2LaNO structure at the PBE-GGA level of DFT.

Lattice parameters (Å, degrees): 8.020 8.020 4.325 90.00 90.00 90.00
Space group P4/mmm (No. 123)
One atom of each set of equivalent atoms:
Rb 0.000 0.500 0.000 (multiplicity 2)
La 0.000 0.000 0.000 (multiplicity 1)
N 0.500 0.500 0.500 (multiplicity 1)
O 0.000 0.000 0.500 (multiplicity 1)

Output
ΔE_f (raw)	225	meV per atom
final energy	-19.02	eV for the cell shown
total moment	2.13	Bohr magnetons per cell

***

Record 4
Computed, not measured: a geometry-optimized LaReN2O structure at the PBE-GGA level of DFT.

Lattice parameters (Å, degrees): 4.325 4.325 4.388 90.00 90.00 90.00
Space group P4/mmm (No. 123)
One atom of each set of equivalent atoms:
La 0.000 0.000 0.000 (multiplicity 1)
Re 0.500 0.500 0.500 (multiplicity 1)
N 0.000 0.500 0.000 (multiplicity 2)
O 0.000 0.000 0.500 (multiplicity 1)

Output
ΔE_f (raw)	1749	meV per atom
final energy	-30.24	eV for the cell shown
total moment	0.17	Bohr magnetons per cell

***

Record 5
Computed, not measured: a geometry-optimized LaReN2O structure at the PBE-GGA level of DFT.

Lattice parameters (Å, degrees): 3.956 3.956 4.025 90.00 90.00 90.00
Space group P4/mmm (No. 123)
One atom of each set of equivalent atoms:
La 0.000 0.000 0.000 (multiplicity 1)
Re 0.500 0.500 0.500 (multiplicity 1)
N 0.000 0.500 0.500 (multiplicity 2)
O 0.500 0.500 0.000 (multiplicity 1)

Output
ΔE_f (raw)	-1239	meV per atom
final energy	-45.18	eV for the cell shown
total moment	0.00	Bohr magnetons per cell

***

Record 6
Computed, not measured: a geometry-optimized LaRuN2O structure at the PBE-GGA level of DFT.

Lattice parameters (Å, degrees): 4.382 4.382 4.328 90.00 90.00 90.00
Space group P4/mmm (No. 123)
One atom of each set of equivalent atoms:
La 0.000 0.000 0.000 (multiplicity 1)
Ru 0.500 0.500 0.500 (multiplicity 1)
N 0.000 0.500 0.000 (multiplicity 2)
O 0.000 0.000 0.500 (multiplicity 1)

Output
ΔE_f (raw)	1392	meV per atom
final energy	-28.85	eV for the cell shown
total moment	0.04	Bohr magnetons per cell